TlVF3: optimized geometry, GGA+U.

The structure in POSCAR format:
```
TlVF3
1.0
7.8163 0.0000 0.0000
0.0000 5.6235 0.0000
-1.4409 0.0000 7.5989
Tl V F
4 4 12
direct
0.1103 0.2246 0.1660
0.1103 0.2754 0.6660
0.8897 0.7246 0.3340
0.8897 0.7754 0.8340
0.4282 0.7460 0.5714
0.4282 0.7540 0.0714
0.5718 0.2460 0.9286
0.5718 0.2540 0.4286
0.1762 0.6320 0.0686
0.1762 0.8680 0.5686
0.3315 0.0798 0.9510
0.3315 0.4202 0.4510
0.4459 0.5761 0.8264
0.4459 0.9239 0.3264
0.5541 0.0761 0.6736
0.5541 0.4239 0.1736
0.6685 0.5798 0.5490
0.6685 0.9202 0.0490
0.8238 0.1320 0.4314
0.8238 0.3680 0.9314
```

Output
- space group = P2_1/c, No. 14
- DFT total energy (Ry per atom) = -0.3961